(1)
This record from Alexandria describes a PBEsol-optimized structure of NbCdO2. The functional is meta-GGA SCAN.

Energy above the lowest structure with this stoichiometry   816 meV per atom
Formation energy from raw total energies   -2.926 eV/f.u.

Lattice parameters (Å, degrees): 4.0246 4.0246 4.0246 60.00 60.00 60.00
Atoms (fractional coordinates):
O 0.7500 0.7500 0.7500
Cd 0.5000 0.5000 0.5000
Nb 0.0000 0.0000 0.0000
O 0.2500 0.2500 0.2500

=====

(2)
This record from Alexandria describes a PBEsol-optimized structure of LaIn3N. The functional is meta-GGA SCAN.

Formation energy from raw total energies   1.093 eV/f.u.

Lattice parameters (Å, degrees): 4.8301 4.8301 4.8301 90.00 90.00 90.00
Atoms (fractional coordinates):
La 0.5000 0.5000 0.5000
In 0.0000 0.5000 0.0000
In 0.0000 0.0000 0.5000
In 0.5000 0.0000 0.0000
N 0.0000 0.0000 0.0000

=====

(3)
This record from Alexandria describes a PBEsol-optimized structure of CaTlPt4. The functional is meta-GGA SCAN.

DFT formation energy   -0.67 eV/atom

Lattice parameters (Å, degrees): 5.3534 5.3534 5.3534 60.00 60.00 60.00
Atoms (fractional coordinates):
Pt 0.3753 0.3753 0.8741
Tl 0.7500 0.7500 0.7500
Pt 0.3753 0.8741 0.3753
Pt 0.8741 0.3753 0.3753
Ca 0.0000 0.0000 0.0000
Pt 0.3753 0.3753 0.3753

=====

Here are the calculated size of the total moment numbers, same order: 0.2902, 0.0000, 0.0000 (μB per atom).
Here are the calculated raw total energy numbers, same order: -19.73, -30.29, -61.13 (eV/atom).